The following is a DFT calculation (PBE+U) of a geometry-optimized Li3VCr3O8 structure.

Calculated values
ΔE to the lowest computed polymorph	0.7	kJ/mol of atoms
raw total energy	-0.2589	Ha/atom

a = 5.9135 Å, b = 5.9135 Å, c = 5.9135 Å
α = 60.58°, β = 60.58°, γ = 60.58°
Sites, in units of the cell vectors:
Li 0.0000 0.5000 0.5000
Li 0.5000 0.0000 0.5000
Li 0.5000 0.5000 0.0000
V 0.0000 0.0000 0.0000
Cr 0.0000 0.0000 0.5000
Cr 0.0000 0.5000 0.0000
Cr 0.5000 0.0000 0.0000
O 0.2192 0.7669 0.7669
O 0.2331 0.2331 0.7808
O 0.2331 0.7808 0.2331
O 0.2412 0.2412 0.2412
O 0.7588 0.7588 0.7588
O 0.7669 0.2192 0.7669
O 0.7669 0.7669 0.2192
O 0.7808 0.2331 0.2331